# 1
Density functional theory data (PBE) for BaCeIO2 after structural relaxation.

Geometry as CIF:
```
data_BaCeIO2
_chemical_formula_sum 'Ba4 Ce4 I4 O8'
_cell_length_a 6.2052
_cell_length_b 14.3763
_cell_length_c 6.0674
_cell_angle_alpha 90.00
_cell_angle_beta 90.00
_cell_angle_gamma 90.00
_space_group_name_H-M_alt 'C m c m'
_space_group_IT_number 63
_space_group_name_Hall '-C 2c 2'
loop_
_atom_site_label
_atom_site_type_symbol
_atom_site_fract_x
_atom_site_fract_y
_atom_site_fract_z
_atom_site_occupancy
Ba1 Ba 0.0000 0.0940 0.2500 1
Ce1 Ce 0.0000 0.4334 0.2500 1
I1 I 0.0000 0.2471 0.7500 1
O1 O 0.2248 0.5000 0.0000 1
```

Summary:
DOS at the Fermi energy	26.823	states/eV per cell
volume	27.1	Å³/atom
formation energy (no corrections)	-2699	meV/atom

# 2
Density functional theory data (PBE) for AlPtBr2 after structural relaxation.

Geometry as CIF:
```
data_AlPtBr2
_chemical_formula_sum 'Al2 Pt2 Br4'
_cell_length_a 3.4653
_cell_length_b 3.8961
_cell_length_c 14.3846
_cell_angle_alpha 90.00
_cell_angle_beta 90.00
_cell_angle_gamma 90.00
_space_group_name_H-M_alt 'I m m m'
_space_group_IT_number 71
_space_group_name_Hall '-I 2 2'
loop_
_atom_site_label
_atom_site_type_symbol
_atom_site_fract_x
_atom_site_fract_y
_atom_site_fract_z
_atom_site_occupancy
Al1 Al 0.0000 0.0000 0.0000 1
Pt1 Pt 0.0000 0.0000 0.5000 1
Br1 Br 0.0000 0.5000 0.3518 1
```

Summary:
DOS at the Fermi energy	3.506	states/eV per cell
distance to the lowest polymorph of the same formula	25.35	kJ per mole of atoms
volume	24.3	Å³/atom
formation energy (no corrections)	-222	meV/atom

# 3
Density functional theory data (PBE) for Ga3SiMo after structural relaxation.

Geometry as CIF:
```
data_Ga3SiMo
_chemical_formula_sum 'Ga3 Si1 Mo1'
_cell_length_a 4.7431
_cell_length_b 4.7431
_cell_length_c 4.7431
_cell_angle_alpha 90.00
_cell_angle_beta 90.00
_cell_angle_gamma 90.00
_space_group_name_H-M_alt 'P m -3 m'
_space_group_IT_number 221
_space_group_name_Hall '-P 4 2 3'
loop_
_atom_site_label
_atom_site_type_symbol
_atom_site_fract_x
_atom_site_fract_y
_atom_site_fract_z
_atom_site_occupancy
Ga1 Ga 0.0000 0.0000 0.5000 1
Si1 Si 0.0000 0.0000 0.0000 1
Mo1 Mo 0.5000 0.5000 0.5000 1
```

Summary:
DOS at the Fermi energy	2.574	states/eV per cell
distance to the lowest polymorph of the same formula	22.20	kJ per mole of atoms
volume	21.3	Å³/atom
formation energy (no corrections)	1011	meV/atom

# 4
Density functional theory data (PBE) for HfScTi2C after structural relaxation.

Geometry as CIF:
```
data_HfScTi2C
_chemical_formula_sum 'Hf1 Sc1 Ti2 C1'
_cell_length_a 4.2710
_cell_length_b 4.2710
_cell_length_c 4.6390
_cell_angle_alpha 90.00
_cell_angle_beta 90.00
_cell_angle_gamma 90.00
_space_group_name_H-M_alt 'P 4/m m m'
_space_group_IT_number 123
_space_group_name_Hall '-P 4 2'
loop_
_atom_site_label
_atom_site_type_symbol
_atom_site_fract_x
_atom_site_fract_y
_atom_site_fract_z
_atom_site_occupancy
Hf1 Hf 0.0000 0.0000 0.0000 1
Sc1 Sc 0.5000 0.5000 0.0000 1
Ti1 Ti 0.0000 0.5000 0.5000 1
C1 C 0.5000 0.5000 0.5000 1
```

Summary:
DOS at the Fermi energy	9.117	states/eV per cell
energy relative to the elements	-133	meV/atom
distance to the lowest polymorph of the same formula	9.38	kJ per mole of atoms
volume	16.9	Å³/atom

# 5
Density functional theory data (PBE) for In12Hg17 after structural relaxation.

Geometry as CIF:
```
data_In12Hg17
_chemical_formula_sum 'In12 Hg17'
_cell_length_a 9.4303
_cell_length_b 9.6009
_cell_length_c 10.2381
_cell_angle_alpha 107.67
_cell_angle_beta 106.64
_cell_angle_gamma 103.73
_space_group_name_H-M_alt 'P 1'
_space_group_IT_number 1
loop_
_space_group_symop_operation_xyz
'x,y,z'
loop_
_atom_site_label
_atom_site_type_symbol
_atom_site_fract_x
_atom_site_fract_y
_atom_site_fract_z
_atom_site_occupancy
In1 In 0.0000 0.0000 0.0000 1
In2 In 0.0033 0.8247 0.3446 1
In3 In 0.1656 0.4589 0.5864 1
In4 In 0.2044 0.6083 0.2669 1
In5 In 0.3618 0.6226 0.9874 1
In6 In 0.3740 0.9728 0.5784 1
In7 In 0.4958 0.3646 0.3431 1
In8 In 0.5385 0.2262 0.9968 1
In9 In 0.6595 0.1071 0.2478 1
In10 In 0.7122 0.5929 0.7835 1
In11 In 0.8117 0.8289 0.6081 1
In12 In 0.9920 0.3560 0.8153 1
Hg1 Hg 0.0620 0.6981 0.8032 1
Hg2 Hg 0.1726 0.0311 0.7650 1
Hg3 Hg 0.2211 0.1609 0.3845 1
Hg4 Hg 0.2381 0.3182 0.0561 1
Hg5 Hg 0.2694 0.9044 0.1489 1
Hg6 Hg 0.4095 0.3455 0.7590 1
Hg7 Hg 0.4379 0.8526 0.8429 1
Hg8 Hg 0.4569 0.6419 0.5539 1
Hg9 Hg 0.5492 0.8611 0.3698 1
Hg10 Hg 0.6361 0.5859 0.2076 1
Hg11 Hg 0.6509 0.2505 0.5765 1
Hg12 Hg 0.7307 0.0848 0.8197 1
Hg13 Hg 0.7379 0.8351 0.0770 1
Hg14 Hg 0.8567 0.4965 0.0389 1
Hg15 Hg 0.8812 0.5336 0.4449 1
Hg16 Hg 0.9409 0.1123 0.5149 1
Hg17 Hg 0.9594 0.2841 0.2183 1
```

Summary:
DOS at the Fermi energy	8.754	states/eV per cell
energy relative to the elements	14	meV/atom
volume	27.3	Å³/atom

# 6
Density functional theory data (PBE) for Rb2Hg3H4 after structural relaxation.

Geometry as CIF:
```
data_Rb2Hg3H4
_chemical_formula_sum 'Rb4 Hg6 H8'
_cell_length_a 14.4173
_cell_length_b 3.7890
_cell_length_c 10.2723
_cell_angle_alpha 90.00
_cell_angle_beta 108.76
_cell_angle_gamma 90.00
_space_group_name_H-M_alt 'C 1 2/m 1'
_space_group_IT_number 12
loop_
_space_group_symop_operation_xyz
'x,y,z'
'-x,-y,-z'
'-x,y,-z'
'x,-y,z'
'x+1/2,y+1/2,z'
'-x+1/2,-y+1/2,-z'
'-x+1/2,y+1/2,-z'
'x+1/2,-y+1/2,z'
loop_
_atom_site_label
_atom_site_type_symbol
_atom_site_fract_x
_atom_site_fract_y
_atom_site_fract_z
_atom_site_occupancy
Rb1 Rb 0.1124 0.0000 0.3258 1
Hg1 Hg 0.0000 0.5000 0.0000 1
Hg2 Hg 0.0881 0.5000 0.6232 1
H1 H 0.0533 0.5000 0.7719 1
H2 H 0.1887 0.5000 0.5610 1
```

Summary:
DOS at the Fermi energy	3.974	states/eV per cell
volume	29.5	Å³/atom
energy	-31.0	eV per cell

# 7
Density functional theory data (PBE) for LiBeIr3 after structural relaxation.

Geometry as CIF:
```
data_LiBeIr3
_chemical_formula_sum 'Li1 Be1 Ir3'
_cell_length_a 4.0792
_cell_length_b 4.0792
_cell_length_c 4.0792
_cell_angle_alpha 90.00
_cell_angle_beta 90.00
_cell_angle_gamma 90.00
_space_group_name_H-M_alt 'P m -3 m'
_space_group_IT_number 221
_space_group_name_Hall '-P 4 2 3'
loop_
_atom_site_label
_atom_site_type_symbol
_atom_site_fract_x
_atom_site_fract_y
_atom_site_fract_z
_atom_site_occupancy
Li1 Li 0.0000 0.0000 0.0000 1
Be1 Be 0.5000 0.5000 0.5000 1
Ir1 Ir 0.0000 0.0000 0.5000 1
```

Summary:
DOS at the Fermi energy	4.296	states/eV per cell
energy relative to the elements	1013	meV/atom
distance to the lowest polymorph of the same formula	65.87	kJ per mole of atoms
volume	13.6	Å³/atom

# 8
Density functional theory data (PBE) for Ca2Al2GaPt5 after structural relaxation.

Geometry as CIF:
```
data_Ca2Al2GaPt5
_chemical_formula_sum 'Ca4 Al4 Ga2 Pt10'
_cell_length_a 9.8639
_cell_length_b 9.8639
_cell_length_c 3.6220
_cell_angle_alpha 90.00
_cell_angle_beta 90.00
_cell_angle_gamma 90.00
_space_group_name_H-M_alt 'P 4/m b m'
_space_group_IT_number 127
_space_group_name_Hall '-P 4 2ab'
loop_
_atom_site_label
_atom_site_type_symbol
_atom_site_fract_x
_atom_site_fract_y
_atom_site_fract_z
_atom_site_occupancy
Ca1 Ca 0.1752 0.3248 0.0000 1
Al1 Al 0.1247 0.6247 0.0000 1
Ga1 Ga 0.0000 0.0000 0.0000 1
Pt1 Pt 0.0000 0.5000 0.5000 1
Pt2 Pt 0.0638 0.7963 0.5000 1
```

Summary:
DOS at the Fermi energy	6.722	states/eV per cell
energy relative to the elements	-873	meV/atom
volume	17.6	Å³/atom

# 9
Density functional theory data (PBE) for CrRe2Si after structural relaxation.

Geometry as CIF:
```
data_CrRe2Si
_chemical_formula_sum 'Cr4 Re8 Si4'
_cell_length_a 3.6957
_cell_length_b 3.6957
_cell_length_c 17.7298
_cell_angle_alpha 90.00
_cell_angle_beta 90.00
_cell_angle_gamma 90.00
_space_group_name_H-M_alt 'I -4 2 d'
_space_group_IT_number 122
_space_group_name_Hall 'I -4 2bw'
loop_
_atom_site_label
_atom_site_type_symbol
_atom_site_fract_x
_atom_site_fract_y
_atom_site_fract_z
_atom_site_occupancy
Cr1 Cr 0.0000 0.0000 0.0000 1
Re1 Re 0.2237 0.2500 0.6250 1
Si1 Si 0.0000 0.0000 0.5000 1
```

Summary:
DOS at the Fermi energy	11.763	states/eV per cell
volume	15.1	Å³/atom
formation energy (no corrections)	607	meV/atom

# 10
Density functional theory data (PBE) for NaMnInSn2 after structural relaxation.

Geometry as CIF:
```
data_NaMnInSn2
_chemical_formula_sum 'Na1 Mn1 In1 Sn2'
_cell_length_a 5.0258
_cell_length_b 5.0258
_cell_length_c 5.1231
_cell_angle_alpha 90.00
_cell_angle_beta 90.00
_cell_angle_gamma 90.00
_space_group_name_H-M_alt 'P 4/m m m'
_space_group_IT_number 123
_space_group_name_Hall '-P 4 2'
loop_
_atom_site_label
_atom_site_type_symbol
_atom_site_fract_x
_atom_site_fract_y
_atom_site_fract_z
_atom_site_occupancy
Na1 Na 0.0000 0.0000 0.0000 1
Mn1 Mn 0.5000 0.5000 0.5000 1
In1 In 0.5000 0.5000 0.0000 1
Sn1 Sn 0.0000 0.5000 0.5000 1
```

Summary:
DOS at the Fermi energy	3.196	states/eV per cell
energy relative to the elements	62	meV/atom
volume	25.9	Å³/atom

# 11
Density functional theory data (PBE) for Al2CdFe2 after structural relaxation.

Geometry as CIF:
```
data_Al2CdFe2
_chemical_formula_sum 'Al4 Cd2 Fe4'
_cell_length_a 3.7144
_cell_length_b 3.7144
_cell_length_c 11.3349
_cell_angle_alpha 90.00
_cell_angle_beta 90.00
_cell_angle_gamma 90.00
_space_group_name_H-M_alt 'I 4/m m m'
_space_group_IT_number 139
_space_group_name_Hall '-I 4 2'
loop_
_atom_site_label
_atom_site_type_symbol
_atom_site_fract_x
_atom_site_fract_y
_atom_site_fract_z
_atom_site_occupancy
Al1 Al 0.0000 0.5000 0.2500 1
Cd1 Cd 0.0000 0.0000 0.0000 1
Fe1 Fe 0.0000 0.0000 0.4011 1
```

Summary:
DOS at the Fermi energy	14.326	states/eV per cell
energy relative to the elements	185	meV/atom
distance to the lowest polymorph of the same formula	20.83	kJ per mole of atoms
volume	15.6	Å³/atom

# 12
Density functional theory data (PBE) for Nd3RuRh after structural relaxation.

Geometry as CIF:
```
data_Nd3RuRh
_chemical_formula_sum 'Nd6 Ru2 Rh2'
_cell_length_a 7.7304
_cell_length_b 4.1719
_cell_length_c 8.3573
_cell_angle_alpha 90.00
_cell_angle_beta 106.97
_cell_angle_gamma 90.00
_space_group_name_H-M_alt 'P 1 21/m 1'
_space_group_IT_number 11
loop_
_space_group_symop_operation_xyz
'x,y,z'
'-x,-y,-z'
'-x,y+1/2,-z'
'x,-y+1/2,z'
loop_
_atom_site_label
_atom_site_type_symbol
_atom_site_fract_x
_atom_site_fract_y
_atom_site_fract_z
_atom_site_occupancy
Nd1 Nd 0.0974 0.2500 0.2473 1
Nd2 Nd 0.3157 0.2500 0.9410 1
Nd3 Nd 0.3643 0.7500 0.6025 1
Ru1 Ru 0.3728 0.7500 0.2102 1
Rh1 Rh 0.0737 0.2500 0.6092 1
```

Summary:
DOS at the Fermi energy	6.842	states/eV per cell
energy relative to the elements	-342	meV/atom
distance to the lowest polymorph of the same formula	0.00	kJ per mole of atoms
volume	25.8	Å³/atom